Lu2Zr4P3N3: relaxed, PBE.

Properties
Magnetization (μB/cell): 0.0
VASP energy (eV per cell): -407.69
Mass density (g/cm³): 7.47

Lattice parameters (Å, degrees): 10.381 5.998 12.622 90.00 105.90 90.00
Space group C2/c (No. 15)
One atom of each set of equivalent atoms:
1 Lu 0.048 0.083 0.395
2 Zr 0.118 0.416 0.603
3 Zr 0.216 0.416 0.897
4 P 0.000 0.425 0.250
5 P 0.171 0.087 0.750
6 N 0.083 0.250 0.000
7 N 0.250 0.250 0.500

NdTm3F: relaxed, PBE.

Properties
Magnetization (μB/cell): 0.0
VASP energy (eV per cell): -24.52
Mass density (g/cm³): 9.09

Lattice parameters (Å, degrees): 4.966 4.966 4.966 90.00 90.00 90.00
Space group Pm-3m (No. 221)
One atom of each set of equivalent atoms:
1 Nd 0.000 0.000 0.000
2 Tm 0.000 0.500 0.500
3 F 0.500 0.500 0.500

Lu2Ta4Sn3C3: relaxed, PBE.

Properties
Magnetization (μB/cell): 0.0
VASP energy (eV per cell): -408.17
Mass density (g/cm³): 11.93

Lattice parameters (Å, degrees): 9.950 5.734 14.708 90.00 103.41 90.00
Space group C2/c (No. 15)
One atom of each set of equivalent atoms:
1 Lu 0.045 0.079 0.403
2 Ta 0.110 0.407 0.578
3 Ta 0.228 0.422 0.922
4 Sn 0.000 0.457 0.250
5 Sn 0.188 0.102 0.753
6 C 0.087 0.260 0.000
7 C 0.250 0.250 0.500

SrZn2Ag: relaxed, PBE.

Properties
VASP energy (eV per cell): -29.25
Mass density (g/cm³): 6.08

Lattice parameters (Å, degrees): 7.089 7.089 7.089 90.00 90.00 90.00
Space group F-43m (No. 216)
One atom of each set of equivalent atoms:
1 Sr 0.000 0.000 0.000
2 Zn 0.000 0.000 0.500
3 Zn 0.250 0.250 0.750
4 Ag 0.250 0.250 0.250

IrI2F2: relaxed, PBE.

Properties
Magnetization (μB/cell): 0.0
VASP energy (eV per cell): -39.52
Mass density (g/cm³): 8.00

Lattice parameters (Å, degrees): 7.036 7.410 3.852 90.00 90.00 90.00
Space group Cmmm (No. 65)
One atom of each set of equivalent atoms:
1 Ir 0.000 0.000 0.000
2 I 0.000 0.242 0.500
3 F 0.215 0.500 0.000

ScTl2AgCl6: relaxed, PBE.

Properties
Magnetization (μB/cell): 0.0
VASP energy (eV per cell): -115.59
Mass density (g/cm³): 4.70

Lattice parameters (Å, degrees): 7.3918 7.3918 17.3372 90.00 90.00 120.00
Space group R3 (No. 146, hexagonal axes)
One atom of each set of equivalent atoms:
1 Sc 0.0000 0.0000 0.0000
2 Tl 0.0000 0.0000 0.2507
3 Tl 0.0000 0.0000 0.7488
4 Ag 0.0000 0.0000 0.5008
5 Cl 0.0208 0.4432 0.7482
6 Cl 0.1099 0.7545 0.5843

Tl4Hg3Sb2As8S20: relaxed, PBE.

Properties
VASP energy (eV per cell): -582.53
Mass density (g/cm³): 5.07

Lattice parameters (Å, degrees): 11.550 24.259 13.574 90.00 90.00 90.00
Space group Aea2 (No. 41)
One atom of each set of equivalent atoms:
1 Tl 0.058 0.231 0.000
2 Tl 0.201 0.109 0.494
3 Hg 0.000 0.000 0.248
4 Hg 0.071 0.441 0.248
5 Sb 0.207 0.339 0.761
6 As 0.095 0.197 0.746
7 As 0.103 0.449 0.989
8 As 0.106 0.444 0.509
9 As 0.113 0.208 0.251
10 S 0.018 0.331 0.858
11 S 0.020 0.343 0.137
12 S 0.021 0.409 0.645
13 S 0.022 0.091 0.897
14 S 0.170 0.264 0.639
15 S 0.172 0.495 0.125
16 S 0.177 0.004 0.372
17 S 0.191 0.265 0.369
18 S 0.244 0.381 0.989
19 S 0.246 0.138 0.248

HoErFe8B2: relaxed, PBE.

Properties
Magnetization (μB/cell): 15.1
VASP energy (eV per cell): -91.95
Mass density (g/cm³): 8.61

Lattice parameters (Å, degrees): 5.0381 5.0381 7.0227 90.00 90.00 120.00
Space group P6/mmm (No. 191)
One atom of each set of equivalent atoms:
1 Ho 0.0000 0.0000 0.0000
2 Er 0.0000 0.0000 0.5000
3 Fe 0.0000 0.5000 0.2860
4 Fe 0.3333 0.6667 0.0000
5 B 0.3333 0.6667 0.5000

ScAlW: relaxed, PBE.

Properties
Magnetization (μB/cell): 0.0
VASP energy (eV per cell): -85.24
Mass density (g/cm³): 7.06

Lattice parameters (Å, degrees): 6.221 6.221 6.221 90.00 90.00 90.00
Space group F-43m (No. 216)
One atom of each set of equivalent atoms:
1 Sc 0.000 0.000 0.000
2 Al 0.250 0.250 0.250
3 W 0.000 0.000 0.500

LuCdFeGe: relaxed, PBE.

Properties
Magnetization (μB/cell): 10.1
VASP energy (eV per cell): -73.65
Mass density (g/cm³): 9.24

Lattice parameters (Å, degrees): 6.687 6.687 6.687 90.00 90.00 90.00
Space group F-43m (No. 216)
One atom of each set of equivalent atoms:
1 Lu 0.000 0.000 0.000
2 Cd 0.250 0.250 0.750
3 Fe 0.000 0.000 0.500
4 Ge 0.250 0.250 0.250